Entry 1:
# Pr3Hg2Rh

Pr3Hg2Rh after structural relaxation (PBE, Alexandria via LeMat-Bulk).

Unit cell a=8.2917 b=8.2917 c=7.9608 alpha=103.87 beta=103.87 gamma=42.79
Fractional positions:
Pr: 0.0005 0.9995 0.7500
Pr: 0.3657 0.3658 0.4329
Pr: 0.3658 0.3657 0.9329
Pr: 0.6342 0.6343 0.0671
Pr: 0.6343 0.6342 0.5671
Pr: 0.9995 0.0005 0.2500
Hg: 0.1896 0.1897 0.0948
Hg: 0.1897 0.1896 0.5948
Hg: 0.8103 0.8104 0.4052
Hg: 0.8104 0.8103 0.9052
Rh: 0.4995 0.5005 0.2500
Rh: 0.5005 0.4995 0.7500

Summary:
ΔE_f: -0.45 eV/atom
symmetry: C2/c, No. 15
distance to the lowest polymorph of the same formula: 58 meV/atom

***

Entry 2:
# GaAsN2F

GaAsN2F after structural relaxation (PBE, Alexandria via LeMat-Bulk).

Unit cell a=3.8450 b=3.8450 c=4.0311 alpha=90.00 beta=90.00 gamma=90.00
Fractional positions:
Ga: 0.0000 0.0000 0.0000
As: 0.5000 0.5000 0.5000
N: 0.0000 0.5000 0.5000
N: 0.5000 0.0000 0.5000
F: 0.5000 0.5000 0.0000

Summary:
symmetry: P4/mmm, No. 123
formation energy (no corrections): 0.49 eV per atom
distance to the lowest polymorph of the same formula: 6 meV/atom

***

Entry 3:
# SmAgAu3

SmAgAu3 after structural relaxation (PBE, Alexandria via LeMat-Bulk).

Unit cell a=4.7674 b=6.6381 c=6.7386 alpha=90.00 beta=90.00 gamma=90.00
Fractional positions:
Sm: 0.2500 0.2500 0.2373
Sm: 0.7500 0.7500 0.7627
Ag: 0.2500 0.7500 0.4469
Ag: 0.7500 0.2500 0.5531
Au: 0.2500 0.0456 0.7417
Au: 0.2500 0.4544 0.7417
Au: 0.2500 0.7500 0.0462
Au: 0.7500 0.2500 0.9538
Au: 0.7500 0.5456 0.2583
Au: 0.7500 0.9544 0.2583

Summary:
ΔE_f: -0.47 eV/atom
symmetry: Pmmn, No. 59

***

Entry 4:
# K2InTeO

K2InTeO after structural relaxation (PBE, Alexandria via LeMat-Bulk).

Unit cell a=5.4996 b=5.4996 c=4.5558 alpha=90.00 beta=90.00 gamma=90.00
Fractional positions:
K: 0.0000 0.5000 0.0000
K: 0.5000 0.0000 0.0000
In: 0.0000 0.0000 0.5000
Te: 0.5000 0.5000 0.5000
O: 0.0000 0.0000 0.0000

Summary:
symmetry: P4/mmm, No. 123
formation energy (no corrections): -0.91 eV per atom

***

Entry 5:
# B5C7

B5C7 after structural relaxation (PBE, Alexandria via LeMat-Bulk).

Unit cell a=3.7768 b=4.6389 c=5.1746 alpha=70.79 beta=88.46 gamma=67.86
Fractional positions:
B: 0.0000 0.0000 0.0000
B: 0.0052 0.3632 0.9916
B: 0.3520 0.3187 0.7466
B: 0.6951 0.0384 0.2938
B: 0.9952 0.3504 0.4128
C: 0.3077 0.3654 0.2090
C: 0.3755 0.6871 0.6231
C: 0.3855 0.6807 0.1220
C: 0.6153 0.6871 0.3682
C: 0.6194 0.6849 0.8707
C: 0.7140 0.9913 0.7796
C: 0.9850 0.9956 0.5561

Summary:
ΔE_f: 0.35 eV/atom
symmetry: P1, No. 1
distance to the lowest polymorph of the same formula: 94 meV/atom

***

Entry 6:
# GaCoHOs2

GaCoHOs2 after structural relaxation (PBE, Alexandria via LeMat-Bulk).

Unit cell a=3.9265 b=3.9265 c=3.6444 alpha=90.00 beta=90.00 gamma=90.00
Fractional positions:
Ga: 0.0000 0.0000 0.0000
Co: 0.5000 0.5000 0.0000
H: 0.5000 0.5000 0.5000
Os: 0.0000 0.5000 0.5000
Os: 0.5000 0.0000 0.5000

Summary:
symmetry: P4/mmm, No. 123

***

Entry 7:
# Cs2U3Se9

Cs2U3Se9 after structural relaxation (PBE, Alexandria via LeMat-Bulk).

Unit cell a=9.9498 b=9.9498 c=12.9182 alpha=117.34 beta=117.34 gamma=50.33
Fractional positions:
Cs: 0.0269 0.3517 0.2832
Cs: 0.3517 0.0269 0.7832
Cs: 0.6483 0.9731 0.2168
Cs: 0.9731 0.6483 0.7168
U: 0.0000 0.5000 0.0000
U: 0.2267 0.6991 0.5099
U: 0.3009 0.7733 0.9901
U: 0.5000 0.0000 0.5000
U: 0.6991 0.2267 0.0099
U: 0.7733 0.3009 0.4901
Se: 0.0370 0.9129 0.1098
Se: 0.0871 0.9630 0.3902
Se: 0.1161 0.6134 0.2478
Se: 0.1405 0.2130 0.5313
Se: 0.2130 0.1405 0.0313
Se: 0.3144 0.4570 0.9701
Se: 0.3216 0.6784 0.7500
Se: 0.3866 0.8839 0.2522
Se: 0.4570 0.3144 0.4701
Se: 0.5430 0.6856 0.5299
Se: 0.6134 0.1161 0.7478
Se: 0.6784 0.3216 0.2500
Se: 0.6856 0.5430 0.0299
Se: 0.7870 0.8595 0.9687
Se: 0.8595 0.7870 0.4687
Se: 0.8839 0.3866 0.7522
Se: 0.9129 0.0370 0.6098
Se: 0.9630 0.0871 0.8902

Summary:
symmetry: C2/c, No. 15
formation energy (no corrections): -0.85 eV per atom

***

Entry 8:
# Ac4SbRuBr2

Ac4SbRuBr2 after structural relaxation (PBE, Alexandria via LeMat-Bulk).

Unit cell a=8.3052 b=4.4291 c=8.3239 alpha=90.00 beta=106.55 gamma=90.00
Fractional positions:
Ac: 0.2068 0.0000 0.2016
Ac: 0.2269 0.5000 0.7930
Ac: 0.7731 0.5000 0.2070
Ac: 0.7932 0.0000 0.7984
Sb: 0.5000 0.0000 0.0000
Ru: 0.0000 0.5000 0.0000
Br: 0.0000 0.0000 0.5000
Br: 0.5000 0.5000 0.5000

Summary:
symmetry: P2/m, No. 10
formation energy (no corrections): -1.02 eV per atom

***

Result set for D(E_F): 4.20; 3.12; 1.11; 1.46; 1.36; 4.95; 19.67; 5.22 states/eV/f.u., one per record in the order listed.
Result set for E_tot: -4.168; -4.747; -3.951; -3.515; -7.811; -6.904; -5.633; -5.170 eV per atom, one per record in the order listed.